No. 1
Mn2CoSb: relaxed, PBE.

```
Mn2CoSb
1.0
4.001 0.000 0.000
0.000 3.091 0.005
0.000 1.554 5.047
Sb Co Mn
1 1 2
Cartesian
0.000 2.906 2.431
2.001 2.897 4.073
0.000 4.448 4.769
2.001 1.362 1.357
```

No. 2
Sm2Er8In: relaxed, PBE.

Energy of formation = -4.9 kJ per mole of atoms

```
Sm2Er8In
1.0
5.499 0.000 0.000
0.000 6.268 1.319
-2.750 -1.158 9.567
Er Sm In
8 2 1
Cartesian
0.000 0.842 3.156
0.000 -0.018 6.652
0.000 4.497 1.817
2.750 2.348 2.029
2.750 5.128 4.234
2.750 0.613 9.069
0.000 2.762 8.857
2.750 4.268 7.730
0.000 3.613 5.541
2.750 1.497 5.345
2.750 0.000 0.000
```

No. 3
Mg2BO2: relaxed, PBE.

```
Mg2BO2
1.0
-3.695 4.979 0.116
-1.409 -1.184 5.922
2.111 1.548 0.812
B Mg O
2 4 4
Cartesian
0.000 0.000 0.000
-2.552 1.898 3.019
-2.461 0.715 5.039
-2.643 3.081 0.999
-1.061 0.369 2.056
-4.043 3.427 3.982
-2.551 3.023 5.497
-0.442 2.320 1.353
-0.430 0.763 4.291
-2.562 4.580 2.559
```

No. 4
LiZr2Ga: relaxed, PBE.

Energy of formation = 9.7 kJ per mole of atoms

```
LiZr2Ga
1.0
-0.914 -1.026 7.499
6.108 -4.560 0.120
4.190 -0.647 4.297
Ga Zr Li
2 4 2
Cartesian
2.937 -2.233 7.803
0.000 0.000 0.000
1.239 -1.375 5.786
5.082 -2.574 6.080
4.752 -3.139 2.076
7.696 -5.380 9.890
2.597 -2.793 3.809
6.448 -4.000 4.113
```

No. 5
TbTm2Pu: relaxed, PBE.

Energy of formation = 17.2 kJ per mole of atoms

```
TbTm2Pu
1.0
-4.940 2.463 0.461
-4.360 -2.865 1.860
-2.096 1.088 5.010
Tm Pu Tb
2 1 1
Cartesian
-2.849 0.172 1.833
-8.547 0.515 5.498
-5.698 0.343 3.665
0.000 0.000 0.000
```

No. 6
MgZn2Ni: relaxed, PBE.

Energy of formation = -17.8 kJ per mole of atoms

```
MgZn2Ni
1.0
-4.590 1.553 -1.259
0.784 -2.838 -6.360
-5.420 -12.161 4.758
Zn Ni Mg
16 8 8
Cartesian
-5.187 -2.380 -3.010
-4.039 -11.065 0.150
-3.734 -12.169 -2.324
-2.873 -1.991 -6.752
-6.049 -12.552 1.430
-3.198 -4.352 -2.742
-5.492 -1.276 -0.536
-3.569 -5.398 1.533
-6.333 -7.989 2.355
-2.893 -5.456 -5.216
-6.028 -9.093 -0.119
-3.265 -6.497 -0.929
-6.353 -11.454 3.892
-3.177 -0.893 -4.291
-5.961 -6.948 -1.932
-5.657 -8.047 -4.393
-3.906 -6.673 -3.296
-5.429 -10.215 1.958
-5.320 -6.772 0.435
-6.625 -9.271 -2.472
-3.797 -3.231 -4.819
-2.601 -4.174 -0.389
-4.622 -13.429 -0.369
-4.605 -0.016 -2.491
-2.678 -1.686 -1.508
-5.347 -4.319 -0.663
-6.548 -11.759 -1.352
-5.781 -5.021 -4.264
-1.121 -3.062 -4.564
-3.879 -9.127 -2.198
-8.105 -10.383 1.703
-3.445 -8.424 1.404
```

No. 7
Te4Rh3: relaxed, PBE.

```
Te4Rh3
1.0
3.971 -0.010 0.024
1.973 3.446 0.024
1.988 1.149 12.015
Te Rh
4 3
Cartesian
5.946 3.437 7.420
1.986 1.148 4.643
5.944 3.436 1.922
1.987 1.149 10.141
3.964 2.291 11.428
3.966 2.292 6.032
3.967 2.293 0.635
```

No. 8
NaZn2InO4: relaxed, PBE.

```
NaZn2InO4
1.0
-3.739 1.966 -2.421
-2.933 -3.768 -3.425
-5.131 -2.750 0.796
Zn O In Na
2 4 1 1
Cartesian
-2.951 -1.138 -1.263
-8.853 -3.414 -3.788
-5.661 -0.874 -4.054
-4.939 -1.319 -0.939
-5.111 -4.156 -2.976
-7.896 -2.757 -2.132
-5.902 -2.276 -2.525
0.000 0.000 0.000
```

No. 9
ScBPO2: relaxed, PBE.

```
ScBPO2
1.0
3.638 0.000 0.000
0.000 3.638 0.000
0.000 0.000 4.028
B O P Sc
1 2 1 1
Cartesian
0.000 0.000 0.000
1.819 0.000 0.000
0.000 1.819 0.000
0.000 0.000 2.014
1.819 1.819 2.014
```

No. 10
YTcIr2: relaxed, PBE.

Energy of formation = -23.2 kJ per mole of atoms

```
YTcIr2
1.0
2.922 0.003 0.000
-0.002 2.922 0.000
0.000 0.000 7.920
Tc Y Ir
1 1 2
Cartesian
1.460 1.462 1.980
1.460 1.462 5.940
0.000 0.000 0.246
0.000 0.000 3.714
```

No. 11
CsCaPdF6: relaxed, PBE.

```
CsCaPdF6
1.0
-1.329 2.309 -7.366
-0.890 -8.043 -2.360
-3.981 3.136 5.866
F Ca Pd Cs
12 2 2 2
Cartesian
-1.770 0.969 -2.040
-1.037 -0.848 -4.244
-3.951 -4.400 0.835
-2.250 -3.370 -3.314
-4.009 3.354 -2.391
-3.471 -0.060 2.109
-5.163 -1.750 0.383
-2.729 -2.538 -5.970
-4.430 -3.568 -1.820
-2.249 1.802 -4.696
-3.950 0.772 -0.547
-2.191 -5.952 -1.470
-2.655 2.723 -0.750
-1.991 1.568 2.933
-0.664 1.154 -3.683
-1.109 -2.867 -4.863
-1.705 -1.932 -0.298
-4.496 -0.666 -3.563
```

No. 12
NaNbGaPd2: relaxed, PBE.

Energy of formation = 123.7 kJ per mole of atoms

```
NaNbGaPd2
1.0
-0.664 0.496 -4.469
4.507 -1.910 -0.882
-1.804 -4.168 -0.194
Pd Na Nb Ga
2 1 1 1
Cartesian
-0.902 -2.084 -0.097
-0.332 0.248 -2.235
0.000 0.000 0.000
2.254 -0.955 -0.441
1.019 -2.791 -2.773
```

Total energy? In order: -7.1765, -4.4758, -4.5389, -5.4085, -6.7976, -2.6656, -5.1924, -4.7518, -6.3003, -8.8782, -4.6912, -3.6786 eV/atom.